[1]
Computed, not measured: a relaxed Na2Zn2Ag5Ge crystal at the PBE level of DFT.

Output
As for the volume: 19.79 Å³ per atom. The total energy comes out at -2.39 eV per atom. The calculation puts the formation energy at 1 kJ/mol of atoms. As for the space group: P4/mbm (127).

Unit cell a=3.448 b=10.714 c=10.714 alpha=90.00 beta=90.00 gamma=90.00
Atoms (fractional coordinates):
Na  0.000  0.673  0.173
Na  0.000  0.327  0.827
Na  0.000  0.173  0.327
Na  0.000  0.827  0.673
Zn  0.000  0.129  0.629
Zn  0.000  0.871  0.371
Zn  0.000  0.629  0.871
Zn  0.000  0.371  0.129
Ag  0.500  0.194  0.063
Ag  0.500  0.806  0.937
Ag  0.500  0.063  0.806
Ag  0.500  0.694  0.437
Ag  0.500  0.937  0.194
Ag  0.500  0.306  0.563
Ag  0.500  0.563  0.694
Ag  0.500  0.437  0.306
Ag  0.500  0.500  0.000
Ag  0.500  0.000  0.500
Ge  0.000  0.000  0.000
Ge  0.000  0.500  0.500

***

[2]
Computed, not measured: a relaxed Al3IrCl crystal at the PBE level of DFT.

Output
As for the volume: 18.31 Å³ per atom. The total energy comes out at -3.47 eV per atom. The formation energy without anion corrections is 4.6 eV/f.u. As for the space group: Pm-3m (221). The value obtained for the energy above the lowest structure with this stoichiometry is 1407 meV/atom.

Unit cell a=4.507 b=4.507 c=4.507 alpha=90.00 beta=90.00 gamma=90.00
Atoms (fractional coordinates):
Ir  0.500  0.500  0.500
Al  0.000  0.500  0.000
Al  0.000  0.000  0.500
Al  0.500  0.000  0.000
Cl  0.000  0.000  0.000

***

[3]
Computed, not measured: a relaxed NaSr2MgCu crystal at the PBE level of DFT.

Output
As for the volume: 37.98 Å³ per atom. The total energy comes out at -1.94 eV per atom. The calculation puts the formation energy at 13 kJ/mol of atoms. As for the space group: P4/mmm (123). The value obtained for the energy above the lowest structure with this stoichiometry is 120 meV/atom.

Unit cell a=5.939 b=5.939 c=5.384 alpha=90.00 beta=90.00 gamma=90.00
Atoms (fractional coordinates):
Sr  0.000  0.500  0.000
Sr  0.500  0.000  0.000
Mg  0.500  0.500  0.500
Cu  0.000  0.000  0.000
Na  0.000  0.000  0.500

***

[4]
Computed, not measured: a relaxed InP2S2 crystal at the PBE level of DFT.

Output
As for the volume: 19.40 Å³ per atom. The total energy comes out at -3.99 eV per atom. The formation energy without anion corrections is 1.9 eV/f.u. As for the space group: P4/mmm (123). The value obtained for the energy above the lowest structure with this stoichiometry is 309 meV/atom.

Unit cell a=4.605 b=4.605 c=4.573 alpha=90.00 beta=90.00 gamma=90.00
Atoms (fractional coordinates):
P  0.000  0.000  0.000
P  0.000  0.000  0.500
S  0.000  0.500  0.000
S  0.500  0.000  0.000
In  0.500  0.500  0.500